First-principles (PBE-GGA) data for an optimized crystal structure of Ta3BeBi, as listed in Alexandria via LeMat-Bulk.

Computed properties:
formation energy = 0.66 eV/atom
electronic total energy = -39.9 eV per formula unit
calculated density = 13.7 g/cm³
relative energy among the computed polymorphs = 0.00 eV/f.u.

abc: 4.518 4.518 4.518
angles: 90.00 90.00 90.00
Fractional coordinates of all 5 atoms:
Ta: 0.000 0.000 0.500
Ta: 0.000 0.500 0.000
Ta: 0.500 0.000 0.000
Be: 0.000 0.000 0.000
Bi: 0.500 0.500 0.500

First-principles (PBE-GGA) data for an optimized crystal structure of La3Pr3TlZn2, as listed in Alexandria via LeMat-Bulk.

Computed properties:
formation energy = -0.16 eV/atom
electronic total energy = -35.4 eV per formula unit
calculated density = 7.1 g/cm³

abc: 8.987 8.987 3.948
angles: 90.00 90.00 120.00
Fractional coordinates of all 9 atoms:
La: 0.000 0.704 0.000
La: 0.296 0.296 0.000
La: 0.704 0.000 0.000
Pr: 0.000 0.386 0.500
Pr: 0.386 0.000 0.500
Pr: 0.614 0.614 0.500
Tl: 0.000 0.000 0.500
Zn: 0.333 0.667 0.000
Zn: 0.667 0.333 0.000

First-principles (PBE-GGA) data for an optimized crystal structure of CePr3Ho3S8, as listed in Alexandria via LeMat-Bulk.

Computed properties:
energy relative to the elements, uncorrected = -2.02 eV per atom
electronic total energy = -97.3 eV per formula unit
calculated density = 6.1 g/cm³

abc: 8.022 8.022 8.022
angles: 59.46 59.46 59.46
Fractional coordinates of all 15 atoms:
Ce: 0.000 0.000 0.000
Pr: 0.000 0.000 0.500
Pr: 0.000 0.500 0.000
Pr: 0.500 0.000 0.000
Ho: 0.000 0.500 0.500
Ho: 0.500 0.000 0.500
Ho: 0.500 0.500 0.000
S: 0.252 0.252 0.734
S: 0.252 0.734 0.252
S: 0.256 0.256 0.256
S: 0.266 0.748 0.748
S: 0.734 0.252 0.252
S: 0.744 0.744 0.744
S: 0.748 0.266 0.748
S: 0.748 0.748 0.266